{"formula": "SrLi2Au", "functional": "PBE", "state": "relaxed", "lattice": [[9.2950, 0.0000, 0.0000], [0.0000, 4.0004, 0.0000], [-1.5391, 0.0000, 5.1900]], "species": ["Sr", "Sr", "Li", "Li", "Li", "Li", "Au", "Au"], "fractional_positions": [[0.0000, 0.0000, 0.0000], [0.5000, 0.5000, 0.0000], [0.2070, 0.0000, 0.6243], [0.2930, 0.5000, 0.3757], [0.7070, 0.5000, 0.6243], [0.7930, 0.0000, 0.3757], [0.0000, 0.5000, 0.5000], [0.5000, 0.0000, 0.5000]], "m_tot_mub_per_atom": 0.000, "formation_energy_kj_per_mol_atoms": -34.21, "spacegroup": "C2/m", "de_polymorph_mev_per_atom": 72.3}



{"formula": "Y2Be2Pd", "functional": "PBE", "state": "relaxed", "lattice": [[6.7776, 0.0000, 0.0000], [0.0000, 6.7776, 0.0000], [0.0000, 0.0000, 4.0392]], "species": ["Y", "Y", "Y", "Y", "Be", "Be", "Be", "Be", "Pd", "Pd"], "fractional_positions": [[0.1812, 0.3188, 0.0000], [0.3188, 0.8188, 0.0000], [0.6812, 0.1812, 0.0000], [0.8188, 0.6812, 0.0000], [0.1137, 0.6137, 0.5000], [0.3863, 0.1137, 0.5000], [0.6137, 0.8863, 0.5000], [0.8863, 0.3863, 0.5000], [0.0000, 0.0000, 0.5000], [0.5000, 0.5000, 0.5000]], "m_tot_mub_per_atom": 0.000, "formation_energy_kj_per_mol_atoms": -22.02, "spacegroup": "P4/mbm"}



{"formula": "Al2CrAg", "functional": "PBE", "state": "relaxed", "lattice": [[3.1096, 0.0000, 0.0000], [0.0000, 4.7102, 0.0000], [0.0000, 0.0000, 8.6336]], "species": ["Al", "Al", "Al", "Al", "Cr", "Cr", "Ag", "Ag"], "fractional_positions": [[0.0000, 0.0000, 0.2448], [0.0000, 0.0000, 0.7552], [0.5000, 0.5000, 0.2552], [0.5000, 0.5000, 0.7448], [0.0000, 0.5000, 0.5000], [0.5000, 0.0000, 0.0000], [0.0000, 0.5000, 0.0000], [0.5000, 0.0000, 0.5000]], "m_tot_mub_per_atom": 0.666, "formation_energy_kj_per_mol_atoms": 15.01, "spacegroup": "Immm", "de_polymorph_mev_per_atom": 215.4}



{"formula": "YMg6Cu6", "functional": "PBE", "state": "relaxed", "lattice": [[5.2914, 0.0000, 0.0000], [-2.6457, 4.5824, 0.0000], [0.0000, 0.0000, 9.1467]], "species": ["Y", "Mg", "Mg", "Mg", "Mg", "Mg", "Mg", "Cu", "Cu", "Cu", "Cu", "Cu", "Cu"], "fractional_positions": [[0.0000, 0.0000, 0.0000], [0.0000, 0.0000, 0.3400], [0.0000, 0.0000, 0.6600], [0.3333, 0.6667, 0.0000], [0.3333, 0.6667, 0.5000], [0.6667, 0.3333, 0.0000], [0.6667, 0.3333, 0.5000], [0.0000, 0.5000, 0.2404], [0.0000, 0.5000, 0.7596], [0.5000, 0.0000, 0.2404], [0.5000, 0.0000, 0.7596], [0.5000, 0.5000, 0.2404], [0.5000, 0.5000, 0.7596]], "m_tot_mub_per_atom": 0.000, "formation_energy_kj_per_mol_atoms": -10.84, "spacegroup": "P6/mmm", "de_polymorph_mev_per_atom": 10.0}



{"formula": "Mo6PdS8", "functional": "PBE", "state": "relaxed", "lattice": [[4.6823, 2.7033, 3.5648], [-4.6823, 2.7033, 3.5648], [0.0000, -5.4066, 3.5648]], "species": ["Mo", "Mo", "Mo", "Mo", "Mo", "Mo", "Pd", "S", "S", "S", "S", "S", "S", "S", "S"], "fractional_positions": [[0.2134, 0.4088, 0.5494], [0.4088, 0.5494, 0.2134], [0.4506, 0.7866, 0.5912], [0.5494, 0.2134, 0.4088], [0.5912, 0.4506, 0.7866], [0.7866, 0.5912, 0.4506], [0.0000, 0.0000, 0.0000], [0.1333, 0.7325, 0.3753], [0.2175, 0.2175, 0.2175], [0.2675, 0.6247, 0.8667], [0.3753, 0.1333, 0.7325], [0.6247, 0.8667, 0.2675], [0.7325, 0.3753, 0.1333], [0.7825, 0.7825, 0.7825], [0.8667, 0.2675, 0.6247]], "formation_energy_uncorrected_mev_per_atom": -616, "m_tot_mub_per_atom": 0.000, "spacegroup": "R-3"}



{"formula": "AlRhN2F", "functional": "PBE", "state": "relaxed", "lattice": [[3.8680, 0.0000, 0.0000], [0.0000, 3.8680, 0.0000], [0.0000, 0.0000, 3.4370]], "species": ["Al", "Rh", "N", "N", "F"], "fractional_positions": [[0.0000, 0.0000, 0.0000], [0.5000, 0.5000, 0.5000], [0.0000, 0.5000, 0.0000], [0.5000, 0.0000, 0.0000], [0.0000, 0.0000, 0.5000]], "formation_energy_uncorrected_mev_per_atom": 30, "m_tot_mub_per_atom": 0.000, "spacegroup": "P4/mmm", "de_polymorph_mev_per_atom": 0.0}



{"formula": "SrBrN", "functional": "PBE", "state": "relaxed", "lattice": [[4.5053, 0.0000, 0.0000], [0.0000, 4.5053, 0.0000], [0.0000, 0.0000, 19.3940]], "species": ["Sr", "Sr", "Sr", "Sr", "Br", "Br", "Br", "Br", "N", "N", "N", "N"], "fractional_positions": [[0.0000, 0.0000, 0.1534], [0.0000, 0.0000, 0.8466], [0.5000, 0.5000, 0.3466], [0.5000, 0.5000, 0.6534], [0.0000, 0.0000, 0.3211], [0.0000, 0.0000, 0.6789], [0.5000, 0.5000, 0.1789], [0.5000, 0.5000, 0.8211], [0.0000, 0.0000, 0.0305], [0.0000, 0.0000, 0.9695], [0.5000, 0.5000, 0.4695], [0.5000, 0.5000, 0.5305]], "formation_energy_uncorrected_mev_per_atom": -1014, "m_tot_mub_per_atom": 0.258, "spacegroup": "I4/mmm"}



{"formula": "MnTlRh2", "functional": "PBE", "state": "relaxed", "lattice": [[4.4580, 0.0000, 0.0000], [0.0000, 4.4580, 0.0000], [0.0000, 0.0000, 3.2627]], "species": ["Mn", "Tl", "Rh", "Rh"], "fractional_positions": [[0.0000, 0.0000, 0.0000], [0.5000, 0.5000, 0.0000], [0.0000, 0.5000, 0.5000], [0.5000, 0.0000, 0.5000]], "m_tot_mub_per_atom": 1.150, "formation_energy_kj_per_mol_atoms": -1.60, "spacegroup": "P4/mmm"}